Nb2ZnHOs | Alexandria via LeMat-Bulk | PBE-GGA | relaxed; electronic total energy = -36.04 eV per formula unit; relative energy among the computed polymorphs = 0.99 kcal/mol of atoms
1.0
4.072 0.000 0.000
0.000 4.072 0.000
0.000 0.000 4.018
Nb Zn H Os
2 1 1 1
direct
0.000 0.500 0.000
0.500 0.000 0.000
0.000 0.000 0.500
0.000 0.000 0.000
0.500 0.500 0.500